Cu7Ag3 | GGA-PBE | relaxed

abc: 7.2385 7.2385 5.4989
angles: 100.80 100.80 28.92
Closest atoms and distances in Å follow each position.
Fractional coordinates of all 10 atoms:
Cu (0.1927, 0.1927, 0.1090)  5 Cu 2.59-2.89, 6 Ag 2.66-2.76
Cu (0.9993, 0.9993, 0.0116)  8 Cu 2.54-2.66, 3 Ag 2.67-2.71
Cu (0.1931, 0.1931, 0.5838)  5 Cu 2.59-2.89, 6 Ag 2.66-2.76
Ag (0.8010, 0.8010, 0.3999)  10 Cu 2.68-2.80, 2 Ag 2.74-2.76
Ag (0.8026, 0.8026, 0.9018)  9 Cu 2.69-2.76, 3 Ag 2.74-2.82
Cu (0.4107, 0.4107, 0.2061)  7 Cu 2.54-2.76, 4 Ag 2.72
Ag (0.5973, 0.5973, 0.7986)  11 Cu 2.62-2.75, 1 Ag 2.82
Cu (0.4069, 0.4069, 0.7021)  5 Ag 2.62-2.70, 6 Cu 2.63-2.76
Cu (0.9992, 0.9992, 0.4883)  8 Cu 2.54-2.67, 3 Ag 2.68-2.73
Cu (0.5972, 0.5972, 0.2988)  9 Cu 2.56-2.61, 3 Ag 2.75-2.80

Computed properties:
Space-group type = Cm, No. 8
Relative energy among the computed polymorphs = 38 kJ/mol of formula units
E = -3.365 eV per atom

***

AgBrCl | GGA-PBE | relaxed

abc: 6.7959 3.7188 7.7222
angles: 90.00 114.44 90.00
Closest atoms and distances in Å follow each position.
Fractional coordinates of all 6 atoms:
Ag (0.0000, 0.0000, 0.0000)  4 Br 2.60
Ag (0.5000, 0.5000, 0.5000)  4 Cl 2.50
Cl (0.7490, 0.0000, 0.5085)  2 Ag 2.50
Br (0.7303, 0.5000, 0.9929)  2 Ag 2.60
Cl (0.2510, 0.0000, 0.4915)  2 Ag 2.50
Br (0.2697, 0.5000, 0.0071)  2 Ag 2.60

Computed properties:
Space-group type = P2/m, No. 10
Relative energy among the computed polymorphs = 1 kJ/mol of formula units
E = -2.397 eV per atom